# 1
## Rb12Sr3I5 (PBE)

Data for crystalline Rb12Sr3I5 at its relaxed geometry.

Properties
space group	Ia-3d (230)

Cell: 20.459 20.459 20.459 Å, 109.47 109.47 109.47°
Fractional coordinates of all 80 atoms:
Sr (0.750, 0.375, 0.125)
Sr (0.875, 0.750, 0.125)
Sr (0.375, 0.750, 0.625)
Sr (0.250, 0.125, 0.375)
Sr (0.875, 0.125, 0.250)
Sr (0.375, 0.625, 0.250)
Sr (0.625, 0.375, 0.750)
Sr (0.125, 0.875, 0.750)
Sr (0.750, 0.875, 0.625)
Sr (0.625, 0.250, 0.375)
Sr (0.125, 0.250, 0.875)
Sr (0.250, 0.625, 0.875)
I (0.125, 0.375, 0.250)
I (0.000, 0.500, 0.000)
I (0.000, 0.000, 0.000)
I (0.375, 0.250, 0.125)
I (0.500, 0.000, 0.500)
I (0.500, 0.500, 0.000)
I (0.125, 0.750, 0.375)
I (0.750, 0.125, 0.875)
I (0.750, 0.625, 0.375)
I (0.375, 0.125, 0.750)
I (0.625, 0.875, 0.250)
I (0.500, 0.500, 0.500)
I (0.500, 0.000, 0.000)
I (0.000, 0.000, 0.500)
I (0.250, 0.375, 0.625)
I (0.250, 0.875, 0.125)
I (0.000, 0.500, 0.500)
I (0.875, 0.250, 0.625)
I (0.625, 0.750, 0.875)
I (0.875, 0.625, 0.750)
Rb (0.702, 0.113, 0.025)
Rb (0.323, 0.525, 0.412)
Rb (0.975, 0.387, 0.298)
Rb (0.525, 0.202, 0.113)
Rb (0.589, 0.702, 0.677)
Rb (0.975, 0.588, 0.177)
Rb (0.323, 0.798, 0.411)
Rb (0.088, 0.911, 0.113)
Rb (0.588, 0.975, 0.677)
Rb (0.702, 0.589, 0.177)
Rb (0.798, 0.475, 0.387)
Rb (0.823, 0.912, 0.025)
Rb (0.113, 0.702, 0.525)
Rb (0.387, 0.412, 0.089)
Rb (0.089, 0.912, 0.387)
Rb (0.411, 0.113, 0.588)
Rb (0.089, 0.177, 0.202)
Rb (0.475, 0.677, 0.088)
Rb (0.823, 0.911, 0.298)
Rb (0.113, 0.411, 0.088)
Rb (0.387, 0.975, 0.798)
Rb (0.588, 0.613, 0.411)
Rb (0.912, 0.823, 0.525)
Rb (0.798, 0.323, 0.911)
Rb (0.412, 0.387, 0.589)
Rb (0.088, 0.177, 0.475)
Rb (0.202, 0.677, 0.089)
Rb (0.177, 0.089, 0.702)
Rb (0.613, 0.025, 0.202)
Rb (0.887, 0.589, 0.912)
Rb (0.525, 0.323, 0.912)
Rb (0.589, 0.887, 0.412)
Rb (0.911, 0.823, 0.798)
Rb (0.911, 0.088, 0.613)
Rb (0.887, 0.298, 0.475)
Rb (0.177, 0.088, 0.975)
Rb (0.613, 0.588, 0.911)
Rb (0.412, 0.025, 0.323)
Rb (0.298, 0.411, 0.823)
Rb (0.202, 0.525, 0.613)
Rb (0.912, 0.089, 0.887)
Rb (0.677, 0.202, 0.589)
Rb (0.475, 0.798, 0.887)
Rb (0.025, 0.412, 0.823)
Rb (0.411, 0.298, 0.323)
Rb (0.025, 0.613, 0.702)
Rb (0.677, 0.475, 0.588)
Rb (0.298, 0.887, 0.975)



# 2
## BeMoBr2 (PBE)

Data for crystalline BeMoBr2 at its relaxed geometry.

Properties
space group	P2/m (10)
E above lowest polymorph	0.445	eV per atom

Cell: 3.845 6.662 7.184 Å, 139.92 90.00 90.00°
Each line ends with the local moment (μB).
Fractional coordinates of all 4 atoms:
Be (0.500, 0.750, 0.750)  0.05
Mo (0.500, 0.250, 0.250)  2.24
Br (0.000, 0.389, 0.119)  0.09
Br (0.000, 0.111, 0.381)  0.09



no.,raw total energy (eV for the cell shown),formation energy from raw total energies (kcal/mol of atoms)
1,-137.82,-11.586
2,-16.01,10.907